1.
{
  "formula": "Ce2CdH",
  "functional": "PBE-GGA",
  "state": "relaxed",
  "space_group": "No. 8",
  "magnetic_moment_mub_per_fu": 0.1,
  "final_energy_ev_per_atom": -4.21,
  "lattice_angstrom": [[5.513, 0.000, 0.000], [0.000, 3.184, 0.000], [-1.849, 0.000, 9.085]],
  "species": ["Ce", "Ce", "Ce", "Ce", "Cd", "Cd", "H", "H"],
  "frac_coords": [[0.000, 0.000, 0.000], [0.214, 0.000, 0.641], [0.500, 0.500, 0.000], [0.714, 0.500, 0.641], [0.274, 0.500, 0.321], [0.774, 0.000, 0.321], [0.107, 0.500, 0.821], [0.607, 0.000, 0.821]]
}


2.
{
  "formula": "BaLiPd",
  "functional": "PBE-GGA",
  "state": "relaxed",
  "space_group": "No. 187",
  "magnetic_moment_mub_per_fu": 0.0,
  "ef_ev_per_atom": -0.3431,
  "final_energy_ev_per_atom": -3.35,
  "lattice_angstrom": [[4.543, 0.000, 0.000], [-2.272, 3.934, 0.000], [0.000, 0.000, 4.654]],
  "species": ["Ba", "Li", "Pd"],
  "frac_coords": [[0.000, 0.000, 0.000], [0.333, 0.667, 0.500], [0.667, 0.333, 0.500]]
}


3.
{
  "formula": "RbPuRhO6",
  "functional": "PBE-GGA",
  "state": "relaxed",
  "space_group": "No. 149",
  "magnetic_moment_mub_per_fu": 2.1,
  "formation_energy_uncorrected_kj_per_mol_fu": -1464,
  "final_energy_ev_per_atom": -7.51,
  "lattice_angstrom": [[5.330, 0.000, 0.000], [-2.665, 4.616, 0.000], [0.000, 0.000, 6.494]],
  "species": ["Rb", "Pu", "Rh", "O", "O", "O", "O", "O", "O"],
  "frac_coords": [[0.000, 0.000, 0.000], [0.333, 0.667, 0.500], [0.667, 0.333, 0.500], [0.367, 0.001, 0.669], [0.367, 0.365, 0.331], [0.635, 0.001, 0.331], [0.635, 0.633, 0.669], [0.999, 0.365, 0.669], [0.999, 0.633, 0.331]]
}


4.
{
  "formula": "Rb2HoErS4",
  "functional": "PBE-GGA",
  "state": "relaxed",
  "space_group": "No. 10",
  "magnetic_moment_mub_per_fu": 0.0,
  "formation_energy_uncorrected_kj_per_mol_fu": -1432,
  "final_energy_ev_per_atom": -5.30,
  "lattice_angstrom": [[7.021, 0.000, 0.000], [0.000, 4.054, 0.000], [-2.338, 0.000, 7.680]],
  "species": ["Rb", "Rb", "Ho", "Er", "S", "S", "S", "S"],
  "frac_coords": [[0.000, 0.000, 0.000], [0.500, 0.500, 0.000], [0.000, 0.500, 0.500], [0.500, 0.000, 0.500], [0.231, 0.000, 0.691], [0.271, 0.500, 0.309], [0.729, 0.500, 0.691], [0.769, 0.000, 0.309]]
}